Entry 1:
Compound: La3SmRh8
Source: the Alexandria database
Functional: PBE
Structure: optimized geometry

Computed properties:
The calculated formation energy comes out at -0.695 eV per atom.

Unit cell a=5.4296 b=5.4296 c=9.4197 alpha=73.25 beta=73.25 gamma=60.00
Last column: nearest neighbours and their distance in Å.
Element x y z (fractional)
La: 0.3750 0.3750 0.8750  12 Rh 3.18-3.20, 4 La 3.32-3.33
La: 0.0001 0.0001 0.9996  12 Rh 3.18-3.20, 3 La 3.32, 1 Sm 3.34
La: 0.4999 0.4999 0.5002  12 Rh 3.17-3.18, 3 Sm 3.33, 1 La 3.33
Sm: 0.8749 0.8749 0.3753  12 Rh 3.17-3.18, 4 La 3.33-3.34
Rh: 0.9367 0.4368 0.1897  6 Rh 2.70-2.73
Rh: 0.4388 0.9379 0.6854  6 Rh 2.71-2.73
Rh: 0.4368 0.4368 0.1897  6 Rh 2.70-2.73
Rh: 0.9379 0.9379 0.6854  6 Rh 2.71-2.73
Rh: 0.1877 0.1877 0.4370  6 Rh 2.70-2.71
Rh: 0.6875 0.6875 0.9376  6 Rh 2.73
Rh: 0.4368 0.9367 0.1897  6 Rh 2.70-2.73
Rh: 0.9379 0.4388 0.6854  6 Rh 2.71-2.73


Entry 2:
Compound: ZnP2SBr
Source: the Alexandria database
Functional: PBE
Structure: optimized geometry

Computed properties:
For the raw formation energy, the calculation gives 0.927 eV per atom. The relative energy among the computed polymorphs is 0 meV/atom.

Unit cell a=4.8495 b=4.8495 c=4.4937 alpha=90.00 beta=90.00 gamma=90.00
Last column: nearest neighbours and their distance in Å.
Element x y z (fractional)
P: 0.0000 0.5000 0.0000  2 Zn 2.42
P: 0.5000 0.0000 0.0000  2 Zn 2.42
Zn: 0.0000 0.0000 0.0000  2 S 2.25, 4 P 2.42
S: 0.0000 0.0000 0.5000  2 Zn 2.25
Br: 0.5000 0.5000 0.5000  8 P 3.31, 4 S 3.43


Entry 3:
Compound: Pr6BiS4
Source: the Alexandria database
Functional: PBE
Structure: optimized geometry

Computed properties:
For the raw formation energy, the calculation gives -1.642 eV per atom.

Unit cell a=4.2256 b=7.0998 c=21.0620 alpha=90.00 beta=90.00 gamma=107.31
Last column: nearest neighbours and their distance in Å.
Element x y z (fractional)
Pr: 0.5000 0.0000 0.0000  6 S 2.88-2.94
Pr: 0.5000 0.0000 0.5000  6 S 2.88-2.94
Pr: 0.0378 0.0756 0.3440  3 S 2.82-2.87
Pr: 0.9622 0.9244 0.6560  3 S 2.82-2.87
Pr: 0.9622 0.9244 0.8440  3 S 2.82-2.87
Pr: 0.0378 0.0756 0.1560  3 S 2.82-2.87
Pr: 0.7716 0.5432 0.4156  5 S 2.86-2.94
Pr: 0.2284 0.4568 0.5844  5 S 2.86-2.94
Pr: 0.2284 0.4568 0.9156  5 S 2.86-2.94
Pr: 0.7716 0.5432 0.0844  5 S 2.86-2.94
Pr: 0.3407 0.6814 0.2500  2 S 2.83
Pr: 0.6593 0.3186 0.7500  2 S 2.83
Bi: 0.6581 0.3162 0.2500  6 Pr 3.25-3.32
Bi: 0.3419 0.6838 0.7500  6 Pr 3.25-3.32
S: 0.8619 0.7237 0.5386  6 Pr 2.82-2.94
S: 0.4043 0.8086 0.1222  6 Pr 2.83-2.89
S: 0.1381 0.2763 0.4614  6 Pr 2.82-2.94
S: 0.5957 0.1914 0.8778  6 Pr 2.83-2.89
S: 0.8619 0.7237 0.9614  6 Pr 2.82-2.94
S: 0.1381 0.2763 0.0386  6 Pr 2.82-2.94
S: 0.5957 0.1914 0.6222  6 Pr 2.83-2.89
S: 0.4043 0.8086 0.3778  6 Pr 2.83-2.89


Entry 4:
Compound: InCu2SnBr
Source: the Alexandria database
Functional: PBE
Structure: optimized geometry

Computed properties:
For the raw formation energy, the calculation gives 0.266 eV per atom.

Unit cell a=4.9612 b=5.9661 c=4.9612 alpha=90.00 beta=90.00 gamma=90.00
Last column: nearest neighbours and their distance in Å.
Element x y z (fractional)
Cu: 0.0000 0.0000 0.5000  2 Sn 2.48
Cu: 0.5000 0.0000 0.0000  2 Sn 2.48
Sn: 0.0000 0.0000 0.0000  4 Cu 2.48
Br: 0.0000 0.5000 0.0000  2 Sn 2.98
In: 0.5000 0.5000 0.5000  4 Br 3.51, 8 Cu 3.88


Entry 5:
Compound: TbLuSnHg
Source: the Alexandria database
Functional: PBE
Structure: optimized geometry

Computed properties:
The calculated formation energy comes out at -0.524 eV per atom.

Unit cell a=5.2492 b=5.2492 c=5.2492 alpha=60.00 beta=60.00 gamma=60.00
Last column: nearest neighbours and their distance in Å.
Element x y z (fractional)
Lu: 0.0000 0.0000 0.0000  4 Hg 3.21, 4 Sn 3.21
Tb: 0.5000 0.5000 0.5000  4 Sn 3.21, 4 Hg 3.21
Hg: 0.7500 0.7500 0.7500  4 Tb 3.21, 4 Lu 3.21
Sn: 0.2500 0.2500 0.2500  4 Tb 3.21, 4 Lu 3.21


Entry 6:
Compound: CsAs3Pt
Source: the Alexandria database
Functional: PBE
Structure: optimized geometry

Computed properties:
The calculated formation energy comes out at 2.296 eV per atom. The relative energy among the computed polymorphs is 2004 meV/atom.

Unit cell a=5.5992 b=5.5992 c=5.5992 alpha=90.00 beta=90.00 gamma=90.00
Last column: nearest neighbours and their distance in Å.
Element x y z (fractional)
Cs: 0.0000 0.0000 0.0000  6 As 2.80
As: 0.0000 0.5000 0.0000  2 Cs 2.80
As: 0.0000 0.0000 0.5000  2 Cs 2.80
As: 0.5000 0.0000 0.0000  2 Cs 2.80
Pt: 0.5000 0.5000 0.5000  12 As 3.96


Entry 7:
Compound: Ti2ZnCoC
Source: the Alexandria database
Functional: PBE
Structure: optimized geometry

Computed properties:
The calculated formation energy comes out at -0.350 eV per atom.

Unit cell a=4.1727 b=4.1727 c=3.7308 alpha=90.00 beta=90.00 gamma=90.00
Last column: nearest neighbours and their distance in Å.
Element x y z (fractional)
Zn: 0.5000 0.5000 0.5000  8 Ti 2.80, 4 Co 2.95
Co: 0.0000 0.0000 0.5000  2 C 1.87
C: 0.0000 0.0000 0.0000  2 Co 1.87, 4 Ti 2.09
Ti: 0.0000 0.5000 0.0000  2 C 2.09
Ti: 0.5000 0.0000 0.0000  2 C 2.09


Entry 8:
Compound: LiPtW2
Source: the Alexandria database
Functional: PBE
Structure: optimized geometry

Computed properties:
The calculated formation energy comes out at 0.546 eV per atom. The relative energy among the computed polymorphs is 519 meV/atom.

Unit cell a=4.3987 b=4.3987 c=4.3987 alpha=60.00 beta=60.00 gamma=60.00
Last column: nearest neighbours and their distance in Å.
Element x y z (fractional)
W: 0.2500 0.2500 0.2500  4 Li 2.69, 4 Pt 2.69
W: 0.7500 0.7500 0.7500  4 Li 2.69, 4 Pt 2.69
Pt: 0.5000 0.5000 0.5000  8 W 2.69
Li: 0.0000 0.0000 0.0000  8 W 2.69


Entry 9:
Compound: PuMn2Au
Source: the Alexandria database
Functional: PBE
Structure: optimized geometry

Computed properties:
The calculated formation energy comes out at -0.058 eV per atom.

Unit cell a=3.6158 b=4.3074 c=4.3074 alpha=90.00 beta=90.00 gamma=90.00
Last column: nearest neighbours and their distance in Å.
Element x y z (fractional)
Mn: 0.0000 0.0000 0.5000  4 Pu 2.81, 4 Au 2.81, 4 Mn 3.05
Mn: 0.0000 0.5000 0.0000  4 Pu 2.81, 4 Au 2.81, 4 Mn 3.05
Au: 0.5000 0.5000 0.5000  8 Mn 2.81, 4 Pu 3.05
Pu: 0.5000 0.0000 0.0000  8 Mn 2.81, 4 Au 3.05


Entry 10:
Compound: Ce3Cd4In4
Source: the Alexandria database
Functional: PBE
Structure: optimized geometry

Computed properties:
The calculated formation energy comes out at -0.269 eV per atom. The relative energy among the computed polymorphs is 0 meV/atom.

Unit cell a=4.8082 b=7.5779 c=9.1570 alpha=114.44 beta=105.22 gamma=90.00
Last column: nearest neighbours and their distance in Å.
Element x y z (fractional)
Ce: 0.1250 0.1250 0.2500  6 Cd 3.41-3.63, 6 In 3.44-3.47
Ce: 0.8750 0.8750 0.7500  6 Cd 3.41-3.63, 6 In 3.44-3.47
Ce: 0.0000 0.5000 0.0000  6 In 3.37-3.48
Cd: 0.3331 0.1393 0.6661  4 In 2.81-2.96, 1 Cd 2.94
Cd: 0.6669 0.4732 0.3339  4 In 2.81-2.96, 1 Cd 2.94
Cd: 0.6669 0.8607 0.3339  4 In 2.81-2.96, 1 Cd 2.94
Cd: 0.3331 0.5268 0.6661  4 In 2.81-2.96, 1 Cd 2.94
In: 0.2180 0.7180 0.4360  6 Cd 2.93-2.96
In: 0.7820 0.2820 0.5640  6 Cd 2.93-2.96
In: 0.5000 0.8107 0.0000  2 Cd 2.81, 1 In 2.87
In: 0.5000 0.1893 0.0000  2 Cd 2.81, 1 In 2.87


Entry 11:
Compound: NdDy3Pd12
Source: the Alexandria database
Functional: PBE
Structure: optimized geometry

Computed properties:
The calculated formation energy comes out at -0.850 eV per atom.

Unit cell a=4.1365 b=4.1365 c=16.6323 alpha=90.00 beta=90.00 gamma=90.00
Last column: nearest neighbours and their distance in Å.
Element x y z (fractional)
Nd: 0.0000 0.0000 0.0000  12 Pd 2.92-2.98
Dy: 0.0000 0.0000 0.2531  12 Pd 2.91-2.92
Dy: 0.0000 0.0000 0.5000  12 Pd 2.92
Dy: 0.0000 0.0000 0.7469  12 Pd 2.91-2.92
Pd: 0.5000 0.5000 0.0000  4 Nd 2.92, 8 Pd 2.98
Pd: 0.5000 0.5000 0.2523  8 Pd 2.91-2.92, 4 Dy 2.92
Pd: 0.5000 0.5000 0.5000  8 Pd 2.92, 4 Dy 2.92
Pd: 0.5000 0.5000 0.7477  8 Pd 2.91-2.92, 4 Dy 2.92
Pd: 0.5000 0.0000 0.1293  8 Pd 2.91-2.98, 2 Dy 2.92, 2 Nd 2.98
Pd: 0.5000 0.0000 0.3762  4 Dy 2.91-2.92, 8 Pd 2.92
Pd: 0.5000 0.0000 0.6238  4 Dy 2.91-2.92, 8 Pd 2.92
Pd: 0.5000 0.0000 0.8707  8 Pd 2.91-2.98, 2 Dy 2.92, 2 Nd 2.98
Pd: 0.0000 0.5000 0.1293  8 Pd 2.91-2.98, 2 Dy 2.92, 2 Nd 2.98
Pd: 0.0000 0.5000 0.3762  4 Dy 2.91-2.92, 8 Pd 2.92
Pd: 0.0000 0.5000 0.6238  4 Dy 2.91-2.92, 8 Pd 2.92
Pd: 0.0000 0.5000 0.8707  8 Pd 2.91-2.98, 2 Dy 2.92, 2 Nd 2.98


Entry 12:
Compound: DyP3Ru3
Source: the Alexandria database
Functional: PBE
Structure: optimized geometry

Computed properties:
The calculated formation energy comes out at -0.748 eV per atom.

Unit cell a=6.6718 b=6.6718 c=7.5865 alpha=63.91 beta=63.91 gamma=60.00
Last column: nearest neighbours and their distance in Å.
Element x y z (fractional)
Dy: 0.3331 0.3331 0.0006  6 P 2.90-2.92, 6 Ru 3.19-3.23
Dy: 0.6669 0.6669 0.9994  6 P 2.90-2.92, 6 Ru 3.19-3.23
P: 0.2249 0.5951 0.2755  4 Ru 2.28-2.38
P: 0.9045 0.2249 0.2755  4 Ru 2.28-2.38
P: 0.5951 0.9045 0.2755  4 Ru 2.28-2.38
P: 0.4049 0.0955 0.7245  4 Ru 2.28-2.38
P: 0.0955 0.7751 0.7245  4 Ru 2.28-2.38
P: 0.7751 0.4049 0.7245  4 Ru 2.28-2.38
Ru: 0.4681 0.7763 0.6398  4 P 2.28-2.38
Ru: 0.7763 0.1158 0.6398  4 P 2.28-2.38
Ru: 0.1158 0.4681 0.6398  4 P 2.28-2.38
Ru: 0.8842 0.5319 0.3602  4 P 2.28-2.38
Ru: 0.2237 0.8842 0.3602  4 P 2.28-2.38
Ru: 0.5319 0.2237 0.3602  4 P 2.28-2.38